Density functional theory data (PBEsol) for an optimized crystal structure of K2FeTe.

Cell lengths 4.623, 5.840, 9.906 Å; angles 90.00, 90.00, 90.00 degrees
Space group Imm2 (No. 44)
One atom of each set of equivalent atoms:
K 0.000 0.000 0.000 [2 per cell]
K 0.000 0.500 0.189 [2 per cell]
Fe 0.000 0.000 0.373 [2 per cell]
Te 0.000 0.500 0.800 [2 per cell]

Summary:
Its uncorrected formation energy is 0.46 eV/f.u. For the size of the total moment, the calculation gives 3.990 μB/cell.

Density functional theory data (PBEsol) for an optimized crystal structure of BaCaCoF7.

Cell lengths 5.411, 10.803, 9.282 Å; angles 90.00, 91.93, 90.00 degrees
Space group P2_1/c (No. 14)
One atom of each set of equivalent atoms:
Ba 0.235 0.153 0.482 [4 per cell]
Ca 0.228 0.579 0.361 [4 per cell]
Co 0.312 0.656 0.693 [4 per cell]
F 0.038 0.728 0.775 [4 per cell]
F 0.115 0.529 0.143 [4 per cell]
F 0.137 0.529 0.608 [4 per cell]
F 0.236 0.744 0.530 [4 per cell]
F 0.398 0.557 0.848 [4 per cell]
F 0.418 0.103 0.907 [4 per cell]
F 0.493 0.216 0.230 [4 per cell]

Summary:
Its uncorrected formation energy is -30.72 eV/f.u. For the size of the total moment, the calculation gives 0.619 μB/cell.

Density functional theory data (PBEsol) for an optimized crystal structure of LaGaNi4.

Cell lengths 5.1036, 5.1036, 3.8245 Å; angles 90.00, 90.00, 120.00 degrees
Space group P-6m2 (No. 187)
One atom of each set of equivalent atoms:
La 0.0000 0.0000 0.0000 [1 per cell]
Ga 0.6667 0.3333 0.0000 [1 per cell]
Ni 0.0063 0.5031 0.5000 [3 per cell]
Ni 0.3333 0.6667 0.0000 [1 per cell]

Summary:
As for the energy relative to the elements: -421 meV per atom. For the size of the total moment, the calculation gives 0.000 μB/cell.

Density functional theory data (PBEsol) for an optimized crystal structure of HfTc2Au2.

Cell lengths 3.966, 3.966, 11.458 Å; angles 90.00, 90.00, 90.00 degrees
Space group I4/mmm (No. 139)
One atom of each set of equivalent atoms:
Hf 0.000 0.000 0.000 [2 per cell]
Tc 0.000 0.000 0.407 [4 per cell]
Au 0.000 0.500 0.250 [4 per cell]

Summary:
As for the energy relative to the elements: 208 meV per atom. For the size of the total moment, the calculation gives 0.000 μB/cell.

Density functional theory data (PBEsol) for an optimized crystal structure of BeAlAs2.

Cell lengths 5.350, 5.350, 11.042 Å; angles 90.00, 90.00, 90.00 degrees
Space group I-42d (No. 122)
One atom of each set of equivalent atoms:
Be 0.000 0.000 0.000 [4 per cell]
Al 0.000 0.000 0.500 [4 per cell]
As 0.214 0.250 0.125 [8 per cell]

Summary:
As for the energy relative to the elements: -125 meV per atom. For the relative energy among the computed polymorphs, the calculation gives 0 meV/atom. For the size of the total moment, the calculation gives 0.001 μB/cell.

Density functional theory data (PBEsol) for an optimized crystal structure of Rb2TcAgF.

Cell lengths 6.447, 6.447, 4.973 Å; angles 90.00, 90.00, 90.00 degrees
Space group P4/mmm (No. 123)
One atom of each set of equivalent atoms:
Rb 0.000 0.500 0.000 [2 per cell]
Tc 0.000 0.000 0.000 [1 per cell]
Ag 0.000 0.000 0.500 [1 per cell]
F 0.500 0.500 0.500 [1 per cell]

Summary:
Its uncorrected formation energy is 2.93 eV/f.u. For the size of the total moment, the calculation gives 3.722 μB/cell.

Density functional theory data (PBEsol) for an optimized crystal structure of Mo2OsPt.

Cell lengths 3.877, 3.877, 3.905 Å; angles 90.00, 90.00, 90.00 degrees
Space group P4/mmm (No. 123)
One atom of each set of equivalent atoms:
Mo 0.000 0.500 0.000 [2 per cell]
Os 0.000 0.000 0.500 [1 per cell]
Pt 0.500 0.500 0.500 [1 per cell]

Summary:
As for the energy relative to the elements: -178 meV per atom. For the relative energy among the computed polymorphs, the calculation gives 4 meV/atom. For the size of the total moment, the calculation gives 0.000 μB/cell.

Density functional theory data (PBEsol) for an optimized crystal structure of NiHg2N2.

Cell lengths 5.789, 5.789, 4.997 Å; angles 90.00, 90.00, 90.00 degrees
Space group I4/mmm (No. 139)
One atom of each set of equivalent atoms:
Ni 0.000 0.000 0.000 [2 per cell]
Hg 0.000 0.500 0.250 [4 per cell]
N 0.000 0.000 0.382 [4 per cell]

Summary:
Its uncorrected formation energy is 1.92 eV/f.u. For the size of the total moment, the calculation gives 0.001 μB/cell.

Density functional theory data (PBEsol) for an optimized crystal structure of Ce2ZnPb.

Cell lengths 7.450, 7.450, 7.450 Å; angles 90.00, 90.00, 90.00 degrees
Space group Fm-3m (No. 225)
One atom of each set of equivalent atoms:
Ce 0.250 0.250 0.250 [8 per cell]
Zn 0.000 0.000 0.000 [4 per cell]
Pb 0.000 0.000 0.500 [4 per cell]

Summary:
As for the energy relative to the elements: -169 meV per atom. For the size of the total moment, the calculation gives 7.180 μB/cell.

Density functional theory data (PBEsol) for an optimized crystal structure of AgTeI2.

Cell lengths 7.610, 7.610, 7.610 Å; angles 90.00, 90.00, 90.00 degrees
Space group Fm-3m (No. 225)
One atom of each set of equivalent atoms:
Ag 0.000 0.000 0.000 [4 per cell]
Te 0.000 0.000 0.500 [4 per cell]
I 0.250 0.250 0.250 [8 per cell]

Summary:
Its uncorrected formation energy is 1.70 eV/f.u. For the size of the total moment, the calculation gives 0.000 μB/cell.

Density functional theory data (PBEsol) for an optimized crystal structure of Ba2TaMnO6.

Cell lengths 9.779, 5.797, 9.805 Å; angles 90.00, 107.68, 90.00 degrees
Space group C2/c (No. 15)
One atom of each set of equivalent atoms:
Ba 0.125 0.239 0.125 [8 per cell]
Ta 0.000 0.265 0.750 [4 per cell]
Mn 0.250 0.250 0.500 [4 per cell]
O 0.120 0.033 0.871 [8 per cell]
O 0.126 0.480 0.373 [8 per cell]
O 0.127 0.267 0.623 [8 per cell]

Summary:
Its uncorrected formation energy is -26.93 eV/f.u. For the size of the total moment, the calculation gives 16.000 μB/cell.

Density functional theory data (PBEsol) for an optimized crystal structure of Te2W.

Cell lengths 5.979, 6.764, 3.457 Å; angles 90.00, 90.00, 90.00 degrees
Space group Pnnm (No. 58)
One atom of each set of equivalent atoms:
Te 0.195 0.147 0.000 [4 per cell]
W 0.000 0.500 0.000 [2 per cell]

Summary:
Its uncorrected formation energy is 0.37 eV/f.u. For the size of the total moment, the calculation gives 0.000 μB/cell.